Y3ThCo: relaxed, PBE.

Lattice parameters (Å, degrees): 5.283 5.283 5.283 90.00 90.00 90.00
Positions (direct):
Th 0.500 0.500 0.500
Co 0.000 0.000 0.000
Y 0.000 0.500 0.000
Y 0.500 0.000 0.000
Y 0.000 0.000 0.500

Results
V = 147 Å³/f.u.
Total DFT energy (no corrections) = -33.511 eV/cell
DOS at the Fermi energy = 1.8437 states/eV/atom
Formation energy from the elements = 0.08 eV/atom
Energy relative to the lowest polymorph listed for this composition = 175 meV per atom
M_tot = 0.03 μB/cell